1.
YPuPd PBE optimized geometry; distance to the lowest polymorph of the same formula = 0 meV per atom; ΔE_f = -0.40 eV/atom; DOS at the Fermi energy = 36.50 states/eV per cell
1.0
0.000 5.046 9.734
3.044 0.000 9.734
3.044 5.046 0.000
Y Pu Pd
4 4 4
Cartesian
2.283 0.465 7.301
3.805 2.988 12.168
2.283 7.103 7.301
3.805 9.626 12.168
2.283 3.784 5.693
2.283 3.784 8.909
3.805 6.307 10.560
3.805 6.307 13.776
0.761 1.261 0.027
0.761 1.261 4.840
5.327 8.830 14.629
5.327 8.830 19.441

***

2.
Y2PuPd PBE optimized geometry; distance to the lowest polymorph of the same formula = 309 meV per atom; ΔE_f = -0.02 eV/atom; DOS at the Fermi energy = 15.47 states/eV per cell
1.0
0.000 3.691 3.691
3.691 0.000 3.691
3.691 3.691 0.000
Y Pu Pd
2 1 1
Cartesian
1.845 1.845 1.845
5.536 5.536 5.536
0.000 0.000 0.000
3.691 3.691 3.691

***

3.
YPu3Pd6 PBE optimized geometry; ΔE_f = -0.53 eV/atom; DOS at the Fermi energy = 64.90 states/eV per cell
1.0
8.681 0.000 0.000
0.000 4.430 0.000
-2.508 0.000 10.861
Y Pu Pd
2 6 12
Cartesian
-0.175 1.107 4.486
6.348 3.322 6.375
1.436 1.107 0.050
1.224 3.322 9.180
3.266 3.322 4.342
2.907 1.107 6.519
4.949 1.107 1.681
4.738 3.322 10.811
-1.580 3.322 9.064
0.606 3.322 2.401
-0.379 1.107 7.619
0.792 3.322 6.233
2.280 1.107 2.884
3.122 3.322 1.235
3.051 1.107 9.626
3.893 3.322 7.977
5.381 1.107 4.629
6.552 3.322 3.242
5.567 1.107 8.460
7.753 1.107 1.797

***

4.
YPuPd2 PBE optimized geometry; ΔE_f = -0.65 eV/atom; DOS at the Fermi energy = 13.59 states/eV per cell
1.0
3.793 0.000 0.000
0.000 4.438 0.000
-1.887 0.000 5.429
Y Pu Pd
1 1 2
Cartesian
0.000 0.000 0.000
1.901 2.219 2.404
0.007 0.000 2.980
0.009 2.219 4.850

***

5.
YPuPd4 PBE optimized geometry; distance to the lowest polymorph of the same formula = 98 meV per atom; ΔE_f = -0.55 eV/atom; DOS at the Fermi energy = 13.49 states/eV per cell
1.0
4.523 0.000 0.000
-2.261 3.917 0.000
0.000 0.000 6.931
Y Pu Pd
1 1 4
Cartesian
0.000 0.000 0.000
0.000 0.000 3.466
0.000 2.611 1.749
0.000 2.611 5.182
2.261 1.306 1.749
2.261 1.306 5.182

***

6.
YPuPd2 PBE optimized geometry; ΔE_f = -0.63 eV/atom; DOS at the Fermi energy = 11.71 states/eV per cell
1.0
3.486 0.000 0.000
0.000 3.486 0.000
0.000 0.000 7.188
Y Pu Pd
1 1 2
Cartesian
0.000 0.000 0.000
0.000 0.000 3.594
1.743 1.743 1.702
1.743 1.743 5.486

***

7.
YPuPd4 PBE optimized geometry; distance to the lowest polymorph of the same formula = 10 meV per atom; ΔE_f = -0.64 eV/atom; DOS at the Fermi energy = 20.50 states/eV per cell
1.0
5.213 0.000 0.000
0.000 5.962 0.000
-0.544 0.000 7.347
Y Pu Pd
2 2 8
Cartesian
0.490 1.491 2.560
4.179 4.472 4.787
2.507 4.472 0.181
2.162 1.491 7.166
0.000 0.000 0.000
0.000 2.981 0.000
0.587 4.472 2.394
1.512 3.019 4.829
1.512 5.924 4.829
3.157 0.038 2.518
3.157 2.943 2.518
4.082 1.491 4.953

***

8.
YPuPd PBE optimized geometry; distance to the lowest polymorph of the same formula = 61 meV per atom; ΔE_f = -0.33 eV/atom; DOS at the Fermi energy = 9.17 states/eV per cell
1.0
-1.769 1.769 5.993
1.769 -1.769 5.993
1.769 1.769 -5.993
Y Pu Pd
1 1 1
Cartesian
0.000 0.000 0.000
0.000 0.000 8.569
0.000 0.000 4.388